# 1
Compound: SrCa3Pd
Source: Alexandria via LeMat-Bulk
Functional: GGA-PBE
Structure: optimized geometry

Cell: 19.446 4.023 11.082 Å, 90.00 120.39 90.00°
Space group C2/m (No. 12)
Asymmetric unit:
Sr (0.055, 0.000, 0.383)
Ca (0.092, 0.000, 0.016)
Ca (0.168, 0.500, 0.808)
Ca (0.213, 0.500, 0.331)
Pd (0.038, 0.500, 0.153)

## Properties
For the formation energy, the calculation gives -135 kJ/mol of formula units. As for the energy above the most stable polymorph in this dataset: 35.4 meV per atom.

***

# 2
Compound: Sr3CaPd
Source: Alexandria via LeMat-Bulk
Functional: GGA-PBE
Structure: optimized geometry

Cell: 14.709 8.433 7.362 Å, 90.00 109.62 90.00°
Space group Cm (No. 8)
Asymmetric unit:
Sr (0.000, 0.000, 0.000)
Sr (0.000, 0.242, 0.500)
Sr (0.248, 0.500, 0.499)
Sr (0.252, 0.000, 0.501)
Sr (0.499, 0.000, 0.000)
Ca (0.250, 0.250, 0.000)
Pd (0.136, 0.000, 0.767)
Pd (0.364, 0.500, 0.233)

## Properties
For the formation energy, the calculation gives -144 kJ/mol of formula units. As for the energy above the most stable polymorph in this dataset: 7.8 meV per atom.

***

# 3
Compound: SrCa2Pd9
Source: Alexandria via LeMat-Bulk
Functional: GGA-PBE
Structure: optimized geometry

Cell: 5.4504 5.4504 26.7717 Å, 90.00 90.00 120.00°
Space group R-3m (No. 166, hexagonal axes)
Asymmetric unit:
Sr (0.0000, 0.0000, 0.0000)
Ca (0.0000, 0.0000, 0.1406)
Pd (0.0000, 0.0000, 0.3329)
Pd (0.0000, 0.0000, 0.5000)
Pd (0.0027, 0.5014, 0.9149)

## Properties
For the formation energy, the calculation gives -643 kJ/mol of formula units.

***

# 4
Compound: Sr3CaPd
Source: Alexandria via LeMat-Bulk
Functional: GGA-PBE
Structure: optimized geometry

Cell: 7.714 8.081 8.346 Å, 105.88 117.44 98.26°
Space group P1 (No. 1)
Asymmetric unit:
Sr (0.000, 0.000, 0.000)
Sr (0.013, 0.620, 0.524)
Sr (0.061, 0.516, 0.013)
Sr (0.462, 0.274, 0.505)
Sr (0.488, 0.140, 0.970)
Sr (0.592, 0.671, 0.026)
Ca (0.508, 0.789, 0.509)
Ca (0.912, 0.093, 0.480)
Pd (0.110, 0.866, 0.332)
Pd (0.422, 0.926, 0.205)

## Properties
For the formation energy, the calculation gives -135 kJ/mol of formula units. As for the energy above the most stable polymorph in this dataset: 25.6 meV per atom.

***

# 5
Compound: SrCa3Pd
Source: Alexandria via LeMat-Bulk
Functional: GGA-PBE
Structure: optimized geometry

Cell: 6.571 7.573 7.697 Å, 91.29 97.45 103.35°
Space group P-1 (No. 2)
Asymmetric unit:
Sr (0.238, 0.216, 0.296)
Ca (0.203, 0.722, 0.408)
Ca (0.233, 0.550, 0.901)
Ca (0.321, 0.078, 0.820)
Pd (0.068, 0.834, 0.063)

## Properties
For the formation energy, the calculation gives -147 kJ/mol of formula units. As for the energy above the most stable polymorph in this dataset: 10.3 meV per atom.

***

# 6
Compound: Sr3CaPd
Source: Alexandria via LeMat-Bulk
Functional: GGA-PBE
Structure: optimized geometry

Cell: 9.600 7.838 13.669 Å, 90.00 126.22 90.00°
Space group P2_1/c (No. 14)
Asymmetric unit:
Sr (0.060, 0.082, 0.293)
Sr (0.324, 0.152, 0.673)
Sr (0.431, 0.728, 0.465)
Ca (0.145, 0.667, 0.580)
Pd (0.203, 0.095, 0.958)

## Properties
For the formation energy, the calculation gives -139 kJ/mol of formula units. As for the energy above the most stable polymorph in this dataset: 18.4 meV per atom.

***

# 7
Compound: SrCa4Pd5
Source: Alexandria via LeMat-Bulk
Functional: GGA-PBE
Structure: optimized geometry

Cell: 3.594 3.594 17.685 Å, 90.00 90.00 90.00°
Space group P4/mmm (No. 123)
Asymmetric unit:
Sr (0.000, 0.000, 0.000)
Ca (0.000, 0.000, 0.206)
Ca (0.000, 0.000, 0.402)
Pd (0.500, 0.500, 0.114)
Pd (0.500, 0.500, 0.305)
Pd (0.500, 0.500, 0.500)

## Properties
For the formation energy, the calculation gives -617 kJ/mol of formula units.

***

# 8
Compound: SrCa3Pd
Source: Alexandria via LeMat-Bulk
Functional: GGA-PBE
Structure: optimized geometry

Cell: 23.049 3.996 7.964 Å, 90.00 90.08 90.00°
Space group Cm (No. 8)
Asymmetric unit:
Sr (0.000, 0.000, 0.000)
Sr (0.248, 0.500, 0.001)
Ca (0.007, 0.500, 0.502)
Ca (0.136, 0.000, 0.260)
Ca (0.137, 0.000, 0.740)
Ca (0.264, 0.500, 0.501)
Ca (0.372, 0.000, 0.751)
Ca (0.373, 0.000, 0.253)
Pd (0.109, 0.500, 0.000)
Pd (0.406, 0.500, 0.502)

## Properties
For the formation energy, the calculation gives -150 kJ/mol of formula units. As for the energy above the most stable polymorph in this dataset: 5.2 meV per atom.

***

Which formula does entry 3 have?
SrCa2Pd9

***

What is the formula in the first record?
SrCa3Pd